Arrangement A

First-principles (PBE-GGA) data for an optimized crystal structure of PSBrCl2, as listed in Alexandria via LeMat-Bulk.

## Properties
magnetic moment = 0.067 μB/atom
density of states at the Fermi level = 2.1 states/eV per cell
crystal system = tetragonal

Cell: 5.147 5.147 5.270 Å, 90.00 90.00 90.00°
Each line ends with the local moment (μB).
Fractional coordinates of all 5 atoms:
P  0.000  0.000  0.500  0.59
S  0.500  0.500  0.500  -0.97
Br  0.000  0.000  0.000  -0.01
Cl  0.000  0.500  0.000  -0.02
Cl  0.500  0.000  0.000  -0.02

Arrangement B

First-principles (PBE-GGA) data for an optimized crystal structure of PSBrCl2, as listed in Alexandria via LeMat-Bulk.

## Properties
magnetic moment = 0.331 μB/atom
density of states at the Fermi level = 3.0 states/eV per cell
crystal system = tetragonal

Cell: 5.166 5.166 5.004 Å, 90.00 90.00 90.00°
Each line ends with the local moment (μB).
Fractional coordinates of all 5 atoms:
P  0.500  0.500  0.500  0.92
S  0.000  0.000  0.500  -0.25
Br  0.000  0.000  0.000  -0.04
Cl  0.000  0.500  0.000  0.03
Cl  0.500  0.000  0.000  0.03

Energies in meV/atom, measured from the most stable structure: arrangement A 23; arrangement B 0.

Arrangement A

First-principles (PBE-GGA) data for an optimized crystal structure of PSBrCl2, as listed in Alexandria via LeMat-Bulk.

## Properties
magnetic moment = 0.000 μB/atom
density of states at the Fermi level = 2.0 states/eV per cell
crystal system = tetragonal

Cell: 4.575 4.575 5.276 Å, 90.00 90.00 90.00°
Fractional coordinates of all 5 atoms:
P  0.000  0.000  0.000
S  0.000  0.000  0.500
Br  0.500  0.500  0.500
Cl  0.000  0.500  0.000
Cl  0.500  0.000  0.000

Arrangement B

First-principles (PBE-GGA) data for an optimized crystal structure of PSBrCl2, as listed in Alexandria via LeMat-Bulk.

## Properties
magnetic moment = 0.000 μB/atom
density of states at the Fermi level = 2.9 states/eV per cell
crystal system = tetragonal

Cell: 4.567 4.567 5.399 Å, 90.00 90.00 90.00°
Fractional coordinates of all 5 atoms:
P  0.000  0.000  0.500
S  0.000  0.000  0.000
Br  0.500  0.500  0.500
Cl  0.000  0.500  0.000
Cl  0.500  0.000  0.000

Energies in meV/atom, measured from the most stable structure: arrangement A 0; arrangement B 268.